Entry 1:
# LiTm2Pb

An optimized crystal structure of LiTm2Pb (PBE, Alexandria via LeMat-Bulk).

The value obtained for the mass density is 8.89 g/cm³. The value obtained for the formation energy is -0.16 eV/atom. The value obtained for the density of states at the Fermi level is 3.9 states/eV per cell. The calculation puts the volume at 103.1 Å³/cell.

The space group is P4/mmm (No. 123) and the conventional cell measures 3.789, 3.789 and 7.182 Å, with angles of 90.00, 90.00 and 90.00 degrees. The inequivalent atoms are Li at (0.000, 0.000, 0.000), Tm at (0.500, 0.500, 0.238) and Pb at (0.000, 0.000, 0.500).


Entry 2:
# LiTm2Pb2

An optimized crystal structure of LiTm2Pb2 (PBE, Alexandria via LeMat-Bulk).

The value obtained for the mass density is 9.48 g/cm³. The value obtained for the formation energy is -0.32 eV/atom. The value obtained for the density of states at the Fermi level is 9.9 states/eV per cell. The calculation puts the volume at 531.7 Å³/cell.

The space group is Ibam (No. 72) and the conventional cell measures 6.521, 12.907 and 6.317 Å, with angles of 90.00, 90.00 and 90.00 degrees. The inequivalent atoms are Li at (0.000, 0.000, 0.250), Tm at (0.217, 0.359, 0.000) and Pb at (0.242, 0.117, 0.000).


Entry 3:
# LiTm2Pb

An optimized crystal structure of LiTm2Pb (PBE, Alexandria via LeMat-Bulk).

The value obtained for the mass density is 9.00 g/cm³. The value obtained for the formation energy is -0.26 eV/atom. The value obtained for the density of states at the Fermi level is 2.7 states/eV per cell. The calculation puts the volume at 101.8 Å³/cell.

The space group is P4/mmm (No. 123) and the conventional cell measures 4.847, 4.847 and 4.334 Å, with angles of 90.00, 90.00 and 90.00 degrees. The inequivalent atoms are Li at (0.000, 0.000, 0.000), Tm at (0.000, 0.500, 0.500) and Pb at (0.500, 0.500, 0.000).